Entry from Alexandria via LeMat-Bulk: Ag2W3O10 after structural relaxation (PBE with a Hubbard U).

a b c (Å): 6.0119 8.5878 9.6539
angles (deg): 108.53 108.14 90.00
Fractional coordinates of all 30 atoms:
1 Ag 0.7277 0.4459 0.4555
2 Ag 0.2723 0.5541 0.5445
3 Ag 0.5834 0.6429 0.1669
4 Ag 0.4166 0.3571 0.8331
5 W 0.9051 0.4565 0.8102
6 W 0.0949 0.5435 0.1898
7 W 0.8105 0.9659 0.6211
8 W 0.1895 0.0341 0.3789
9 W 0.7518 0.0000 0.0000
10 W 0.2482 0.0000 0.0000
11 O 0.6705 0.9767 0.7852
12 O 0.1147 0.9767 0.7852
13 O 0.3295 0.0233 0.2148
14 O 0.8853 0.0233 0.2148
15 O 0.6264 0.5220 0.7171
16 O 0.0907 0.5220 0.7171
17 O 0.3736 0.4780 0.2829
18 O 0.9093 0.4780 0.2829
19 O 0.9814 0.8406 0.9628
20 O 0.0186 0.1594 0.0372
21 O 0.8623 0.2308 0.7247
22 O 0.1377 0.7692 0.2753
23 O 0.7682 0.7491 0.5365
24 O 0.2318 0.2509 0.4635
25 O 0.4863 0.8450 0.9727
26 O 0.5137 0.1550 0.0273
27 O 0.8015 0.5000 0.0000
28 O 0.1985 0.5000 0.0000
29 O 0.5000 0.0000 0.5000
30 O 0.0000 0.0000 0.5000

Calculated values
The value obtained for the raw total energy is -6.599 eV per atom. Its space group is C2/m. The calculation puts the calculated density at 6.90 g/cm3. The total magnetization is 0.0 μB/f.u.